First-principles (PBE-GGA) data for an optimized crystal structure of Ca2TlGe, as listed in Alexandria.

POSCAR file:
```
Ca2TlGe
1.0
3.830 0.000 0.000
-1.915 3.317 0.000
0.000 0.000 31.389
Ca Tl Ge
6 3 3
Cartesian
0.000 0.000 3.259
0.000 0.000 28.130
0.000 2.211 17.667
0.000 2.211 24.185
1.915 1.106 7.204
1.915 1.106 13.722
0.000 0.000 0.000
0.000 2.211 20.926
1.915 1.106 10.463
0.000 0.000 15.694
0.000 2.211 5.231
1.915 1.106 26.157
```

Values from the calculation:
**D(E_F)**: 0.89 states/eV per atom
**Space-group type**: No. 166
**Energy relative to the elements**: -0.1379 eV/atom
**Total moment**: 0.0 μB/cell